Entry 1:
The following is a DFT calculation (GGA-PBE) of an optimized crystal structure of VZnIn.

Geometry as POSCAR:
```
VZnIn
1.0
-0.8006 3.9581 -0.2451
-5.1880 0.7771 -3.8961
-1.6340 1.8294 1.4905
Zn In V
1 1 1
Direct
0.9857 0.0287 0.0000
0.6724 0.6552 0.0000
0.3419 0.3162 0.0000
```

* SG: Fmm2 (42)
* ΔE_f: 67 kJ/mol of formula units
* raw total energy: -12.43 eV/cell


Entry 2:
The following is a DFT calculation (GGA-PBE) of an optimized crystal structure of Nd7Cd5.

Geometry as POSCAR:
```
Nd7Cd5
1.0
-2.9337 0.7445 -4.3909
-2.3452 -4.6745 4.0130
-3.5414 10.3958 4.1288
Nd Cd
7 5
Direct
0.3777 0.7554 0.7305
0.6223 0.2446 0.2695
0.9194 0.8387 0.2568
0.0806 0.1613 0.7432
0.6526 0.3052 0.9899
0.5000 0.0000 0.5000
0.3474 0.6948 0.0101
0.1790 0.3580 0.4632
0.8210 0.6420 0.5368
0.2456 0.4912 0.2260
0.7544 0.5088 0.7740
0.0000 0.0000 0.0000
```

* SG: C2/m (12)
* ΔE_f: -190 kJ/mol of formula units
* raw total energy: -39.92 eV/cell


Entry 3:
The following is a DFT calculation (GGA-PBE) of an optimized crystal structure of CuPdN.

Geometry as POSCAR:
```
CuPdN
1.0
-2.4128 2.1277 -0.2286
-2.4625 -2.8423 -0.4634
2.7831 -3.4645 6.4606
N Pd Cu
2 2 2
Direct
0.7302 0.2500 0.8214
0.2698 0.7500 0.1786
0.0794 0.7500 0.3860
0.9206 0.2500 0.6140
0.7533 0.7500 0.8358
0.2467 0.2500 0.1642
```

* SG: P2_1/m (11)
* E_form (uncorrected): 494 meV/atom
* raw total energy: -32.26 eV/cell
* excess energy over the best structure of this formula in the dataset: 229 meV per atom


Entry 4:
The following is a DFT calculation (GGA-PBE) of an optimized crystal structure of Cs3GaPt.

Geometry as POSCAR:
```
Cs3GaPt
1.0
-5.4571 1.5498 3.4977
3.1958 -1.5027 5.6520
2.1030 6.3052 0.4873
Cs Ga Pt
3 1 1
Direct
0.0000 0.5000 0.0000
0.0000 0.0000 0.5000
0.5000 0.0000 0.0000
0.5000 0.5000 0.5000
0.0000 0.0000 0.0000
```

* SG: Pm-3m (221)
* ΔE_f: 124 kJ/mol of formula units
* raw total energy: -10.34 eV/cell
* excess energy over the best structure of this formula in the dataset: 0 meV per atom


Entry 5:
The following is a DFT calculation (GGA-PBE) of an optimized crystal structure of Re2PtRh.

Geometry as POSCAR:
```
Re2PtRh
1.0
0.0000 3.1169 3.1169
3.1169 0.0000 3.1169
3.1169 3.1169 0.0000
Re Pt Rh
2 1 1
Direct
0.0000 0.0000 0.0000
0.7500 0.7500 0.7500
0.5000 0.5000 0.5000
0.2500 0.2500 0.2500
```

* SG: F-43m (216)
* ΔE_f: 95 kJ/mol of formula units
* raw total energy: -37.30 eV/cell
* excess energy over the best structure of this formula in the dataset: 370 meV per atom


Entry 6:
The following is a DFT calculation (GGA-PBE) of an optimized crystal structure of KSmGa2Br6.

Geometry as POSCAR:
```
KSmGa2Br6
1.0
-6.9065 1.5426 -3.4734
-0.5337 0.0962 -7.8629
-4.0200 -6.2897 -3.7624
K Sm Ga Br
1 1 2 6
Direct
0.8134 0.8137 0.5590
0.3234 0.3231 0.0300
0.5158 0.5158 0.4531
0.0105 0.0108 0.9682
0.5767 0.2258 0.2398
0.2256 0.9574 0.2401
0.9572 0.5775 0.2397
0.3936 0.7041 0.7616
0.7047 0.1397 0.7621
0.1406 0.3937 0.7619
```

* SG: P1 (1)
* E_form (uncorrected): -1324 meV/atom
* raw total energy: -35.15 eV/cell


Entry 7:
The following is a DFT calculation (GGA-PBE) of an optimized crystal structure of CsKFe2I6.

Geometry as POSCAR:
```
CsKFe2I6
1.0
-8.7571 1.5156 -6.3070
-3.5358 -10.2228 1.3243
-2.6033 3.4586 7.1011
Cs K Fe I
2 2 4 12
Direct
0.1773 0.8227 0.2500
0.8227 0.1773 0.7500
0.6052 0.3948 0.2500
0.3948 0.6052 0.7500
0.2967 0.1309 0.7567
0.8691 0.7033 0.7433
0.7033 0.8691 0.2433
0.1309 0.2967 0.2567
0.9121 0.3955 0.1716
0.6045 0.0879 0.3284
0.0879 0.6045 0.8284
0.3955 0.9121 0.6716
0.1802 0.1154 0.0104
0.8846 0.8198 0.4896
0.8198 0.8846 0.9896
0.1154 0.1802 0.5104
0.2962 0.4697 0.3291
0.5303 0.7038 0.1709
0.7038 0.5303 0.6709
0.4697 0.2962 0.8291
```

* SG: C2/c (15)
* E_form (uncorrected): -655 meV/atom
* raw total energy: -69.46 eV/cell


Entry 8:
The following is a DFT calculation (GGA-PBE) of an optimized crystal structure of Ba2SmBr2N2.

Geometry as POSCAR:
```
Ba2SmBr2N2
1.0
4.6767 0.0000 0.0000
0.0000 4.6767 0.0000
-2.3384 -2.3384 8.5192
Ba Sm Br N
2 1 2 2
Direct
0.3920 0.3920 0.7840
0.6080 0.6080 0.2160
0.0000 0.0000 0.0000
0.1797 0.1797 0.3593
0.8203 0.8203 0.6407
0.0000 0.5000 0.0000
0.5000 0.0000 0.0000
```

* SG: I4/mmm (139)
* E_form (uncorrected): -1346 meV/atom
* raw total energy: -37.98 eV/cell


Entry 9:
The following is a DFT calculation (GGA-PBE) of an optimized crystal structure of Pm6NpN8.

Geometry as POSCAR:
```
Pm6NpN8
1.0
-0.0464 1.0953 6.4520
6.0287 1.4448 2.0970
0.5015 6.4113 1.2141
Pm Np N
6 1 8
Direct
0.0515 0.4950 0.7083
0.2917 0.9485 0.5050
0.5050 0.2917 0.9485
0.4950 0.7083 0.0515
0.7083 0.0515 0.4950
0.9485 0.5050 0.2917
0.0000 0.0000 0.0000
0.1641 0.6781 0.9042
0.0958 0.8359 0.3219
0.3219 0.0958 0.8359
0.6750 0.6750 0.6750
0.3250 0.3250 0.3250
0.6781 0.9042 0.1641
0.9042 0.1641 0.6781
0.8359 0.3219 0.0958
```

* SG: R-3 (148)
* E_form (uncorrected): -1146 meV/atom
* raw total energy: -125.24 eV/cell


Entry 10:
The following is a DFT calculation (GGA-PBE) of an optimized crystal structure of KRb2Cd2Br7.

Geometry as POSCAR:
```
KRb2Cd2Br7
1.0
5.5900 -0.0035 0.0185
0.0033 5.5900 0.0185
2.7468 2.7435 13.9761
K Rb Cd Br
1 2 2 7
Direct
0.0000 0.0000 0.0000
0.8219 0.8219 0.3552
0.1781 0.1781 0.6448
0.6017 0.6017 0.7976
0.3983 0.3983 0.2024
0.5000 0.5000 0.0000
0.3020 0.3020 0.3965
0.6980 0.6980 0.6035
0.9058 0.4053 0.1875
0.4053 0.9058 0.1875
0.5947 0.0942 0.8125
0.0942 0.5947 0.8125
```

* SG: C2/m (12)
* E_form (uncorrected): -1279 meV/atom
* raw total energy: -31.92 eV/cell


Entry 11:
The following is a DFT calculation (GGA-PBE) of an optimized crystal structure of SmPdPt3.

Geometry as POSCAR:
```
SmPdPt3
1.0
-5.6000 1.1605 -3.3454
-0.3963 -6.2906 -2.0420
1.5453 0.3351 6.4342
Sm Pd Pt
2 2 6
Direct
0.9960 0.7460 0.7500
0.0040 0.2540 0.2500
0.5000 0.5000 0.0000
0.5000 0.0000 0.5000
0.5000 0.3134 0.3134
0.0000 0.6866 0.1866
0.5000 0.6866 0.6866
0.0000 0.3134 0.8134
0.7020 0.9520 0.2500
0.2980 0.0480 0.7500
```

* SG: Imma (74)
* ΔE_f: -318 kJ/mol of formula units
* raw total energy: -62.66 eV/cell
* excess energy over the best structure of this formula in the dataset: 0 meV per atom


Entry 12:
The following is a DFT calculation (GGA-PBE) of an optimized crystal structure of DySbPd4.

Geometry as POSCAR:
```
DySbPd4
1.0
5.3999 0.0000 0.0000
2.7000 4.6765 0.0000
2.7000 1.5588 4.4090
Sb Pd Dy
1 4 1
Direct
0.2500 0.2500 0.2500
0.6253 0.6253 0.1241
0.6253 0.1241 0.6253
0.6253 0.6253 0.6253
0.1241 0.6253 0.6253
0.0000 0.0000 0.0000
```

* SG: F-43m (216)
* E_form (uncorrected): -557 meV/atom
* raw total energy: -32.84 eV/cell


Entry 13:
The following is a DFT calculation (GGA-PBE) of an optimized crystal structure of Sb2RuPt.

Geometry as POSCAR:
```
Sb2RuPt
1.0
-0.4979 -3.0932 4.6471
1.0577 -5.0520 2.1841
3.6727 1.3184 1.2711
Pt Ru Sb
1 1 2
Direct
0.4687 0.4687 0.6250
0.2823 0.2823 0.1250
0.0218 0.0218 0.1250
0.7272 0.7272 0.6250
```

* SG: Amm2 (38)
* E_form (uncorrected): -136 meV/atom
* raw total energy: -24.10 eV/cell
* excess energy over the best structure of this formula in the dataset: 3 meV per atom


Entry 14:
The following is a DFT calculation (GGA-PBE) of an optimized crystal structure of Pr6AgAu2.

Geometry as POSCAR:
```
Pr6AgAu2
1.0
-5.5479 0.1805 3.6824
-1.0903 -7.8635 -1.2572
5.5847 -2.1552 8.6368
Pr Ag Au
12 2 4
Direct
0.8305 0.9358 0.2357
0.8314 0.6518 0.5553
0.8599 0.7118 0.9263
0.6401 0.2118 0.5737
0.6686 0.1518 0.9447
0.6695 0.4358 0.2643
0.1695 0.0642 0.7643
0.1686 0.3482 0.4447
0.1401 0.2882 0.0737
0.3599 0.7882 0.4263
0.3314 0.8482 0.0553
0.3305 0.5642 0.7357
0.5000 0.5000 0.0000
0.0000 0.0000 0.5000
0.9201 0.3902 0.7717
0.5799 0.8902 0.7283
0.4201 0.1098 0.2717
0.0799 0.6098 0.2283
```

* SG: P2_1/c (14)
* ΔE_f: -262 kJ/mol of formula units
* raw total energy: -81.59 eV/cell


Entry 15:
The following is a DFT calculation (GGA-PBE) of an optimized crystal structure of Ho4TlCd.

Geometry as POSCAR:
```
Ho4TlCd
1.0
3.5685 -0.0007 0.0002
0.0007 3.5685 0.0002
-0.0006 -0.0006 13.3183
Ho Tl Cd
4 1 1
Direct
0.5000 0.5000 0.8463
0.5000 0.5000 0.1537
0.0000 0.0000 0.6613
0.0000 0.0000 0.3387
0.5000 0.5000 0.5000
0.0000 0.0000 0.0000
```

* SG: P4/mmm (123)
* ΔE_f: -120 kJ/mol of formula units
* raw total energy: -22.83 eV/cell
* excess energy over the best structure of this formula in the dataset: 0 meV per atom


Entry 16:
The following is a DFT calculation (GGA-PBE) of an optimized crystal structure of Sc2MoW.

Geometry as POSCAR:
```
Sc2MoW
1.0
9.5568 0.0119 0.0070
9.0455 3.0842 0.0070
9.0455 1.5055 2.6918
Mo Sc W
1 2 1
Direct
0.2424 0.2424 0.2424
0.9886 0.9886 0.9886
0.7608 0.7608 0.7608
0.5083 0.5083 0.5083
```

* SG: R3m (160)
* ΔE_f: 99 kJ/mol of formula units
* raw total energy: -35.42 eV/cell
* excess energy over the best structure of this formula in the dataset: 227 meV per atom


Entry 17:
The following is a DFT calculation (GGA-PBE) of an optimized crystal structure of Ho5ThHg4.

Geometry as POSCAR:
```
Ho5ThHg4
1.0
-1.4568 -2.1105 -2.6236
2.9402 0.5957 -2.1118
8.8129 -15.7968 7.8138
Ho Th Hg
5 1 4
Direct
0.5000 0.5000 0.1188
0.5000 0.5000 0.3106
0.5000 0.5000 0.5000
0.5000 0.5000 0.6894
0.5000 0.5000 0.8812
0.0000 0.0000 0.0000
0.0000 0.0000 0.2140
0.0000 0.0000 0.4045
0.0000 0.0000 0.5955
0.0000 0.0000 0.7860
```

* SG: P4/mmm (123)
* ΔE_f: -374 kJ/mol of formula units
* raw total energy: -35.39 eV/cell


Entry 18:
The following is a DFT calculation (GGA-PBE) of an optimized crystal structure of Mn2NiGeC.

Geometry as POSCAR:
```
Mn2NiGeC
1.0
-1.8981 -3.2848 0.3494
1.8640 -1.3977 -3.0144
2.7380 -1.3362 2.3127
Ni Ge Mn C
1 1 2 1
Direct
0.0000 0.0000 0.5000
0.5000 0.5000 0.5000
0.0000 0.5000 0.0000
0.5000 0.0000 0.0000
0.0000 0.0000 0.0000
```

* SG: P4/mmm (123)
* ΔE_f: -7 kJ/mol of formula units
* raw total energy: -38.03 eV/cell


Entry 19:
The following is a DFT calculation (GGA-PBE) of an optimized crystal structure of TbSm2Tl2Hg2.

Geometry as POSCAR:
```
TbSm2Tl2Hg2
1.0
-1.8665 1.5379 -4.3925
-2.3483 -3.2562 -3.0043
-9.1996 1.3664 1.5255
Tb Sm Tl Hg
1 2 2 2
Direct
0.0000 0.0000 0.0000
0.1329 0.1329 0.6012
0.8671 0.8671 0.3988
0.7245 0.7245 0.8266
0.2755 0.2755 0.1734
0.5685 0.5685 0.2946
0.4315 0.4315 0.7054
```

* SG: R-3m (166)
* ΔE_f: -130 kJ/mol of formula units
* raw total energy: -20.75 eV/cell


Entry 20:
The following is a DFT calculation (GGA-PBE) of an optimized crystal structure of Pa3Mo.

Geometry as POSCAR:
```
Pa3Mo
1.0
3.0830 -5.3400 0.0000
3.0830 5.3400 0.0000
0.0000 0.0000 5.5232
Pa Mo
6 2
Direct
0.8255 0.1745 0.7500
0.3490 0.1745 0.7500
0.8255 0.6510 0.7500
0.1745 0.8255 0.2500
0.6510 0.8255 0.2500
0.1745 0.3490 0.2500
0.6667 0.3333 0.2500
0.3333 0.6667 0.7500
```

* SG: P6_3/mmc (194)
* ΔE_f: 83 kJ/mol of formula units
* raw total energy: -76.93 eV/cell
* excess energy over the best structure of this formula in the dataset: 23 meV per atom